No. 1
The following is a PBE calculation of an optimized crystal structure of SiBiF2, from Alexandria.

Properties
SG: No. 225
Energy relative to the elements, uncorrected in eV per atom: -0.635
E above lowest polymorph in eV per formula unit: 2.43
Calculated density in g/cm³: 6.99

a = 4.5218 Å, b = 4.5218 Å, c = 4.5218 Å
α = 60.00°, β = 60.00°, γ = 60.00°
With the nearest neighbours (Å) after each atom.
Positions (direct):
Bi1 0.5000 0.5000 0.5000  8 F 2.77
F1 0.7500 0.7500 0.7500  4 Bi 2.77, 4 Si 2.77
F2 0.2500 0.2500 0.2500  4 Bi 2.77, 4 Si 2.77
Si1 0.0000 0.0000 0.0000  8 F 2.77


No. 2
The following is a PBE calculation of an optimized crystal structure of Sr2Zn4InSi3, from Alexandria.

Properties
SG: No. 115
Energy relative to the elements, uncorrected in eV per atom: -0.279
Calculated density in g/cm³: 5.13

a = 4.3593 Å, b = 4.3593 Å, c = 10.8321 Å
α = 90.00°, β = 90.00°, γ = 90.00°
With the nearest neighbours (Å) after each atom.
Positions (direct):
In1 0.5000 0.5000 0.5000  4 Zn 2.69
Sr1 0.0000 0.5000 0.7616  6 Si 3.31-3.57, 8 Zn 3.33-3.38, 2 In 3.57
Sr2 0.5000 0.0000 0.2384  6 Si 3.31-3.57, 8 Zn 3.33-3.38, 2 In 3.57
Si1 0.5000 0.0000 0.8724  5 Zn 2.45-2.58
Zn1 0.0000 0.5000 0.3540  3 Si 2.45-2.69, 2 In 2.69
Si2 0.0000 0.5000 0.1276  5 Zn 2.45-2.58
Zn2 0.0000 0.0000 0.0000  4 Si 2.58
Zn3 0.5000 0.0000 0.6460  3 Si 2.45-2.69, 2 In 2.69
Zn4 0.5000 0.5000 0.0000  4 Si 2.58
Si3 0.0000 0.0000 0.5000  4 Zn 2.69


No. 3
The following is a PBE calculation of an optimized crystal structure of In2PbAuSe, from Alexandria.

Properties
SG: No. 123
Energy relative to the elements, uncorrected in eV per atom: 0.152
Calculated density in g/cm³: 7.74

a = 5.3202 Å, b = 5.4053 Å, c = 5.3202 Å
α = 90.00°, β = 90.00°, γ = 90.00°
With the nearest neighbours (Å) after each atom.
Positions (direct):
Au1 0.0000 0.0000 0.0000  4 In 2.66, 2 Se 2.70
In1 0.5000 0.0000 0.0000  2 Au 2.66
Se1 0.0000 0.5000 0.0000  2 Au 2.70
In2 0.0000 0.0000 0.5000  2 Au 2.66
Pb1 0.5000 0.5000 0.5000  4 Se 3.76, 8 In 3.79


No. 4
The following is a PBE calculation of an optimized crystal structure of Zn2RhW, from Alexandria.

Properties
SG: No. 122
E above lowest polymorph in eV per formula unit: 2.54
Calculated density in g/cm³: 11.01
Energy of formation in kJ/mol of formula units: 206

a = 6.9831 Å, b = 6.9831 Å, c = 5.5726 Å
α = 51.20°, β = 51.20°, γ = 90.00°
With the nearest neighbours (Å) after each atom.
Positions (direct):
Zn1 0.6136 0.1250 0.2500  2 Rh 2.50, 2 Zn 2.59, 2 W 2.61
Rh1 0.5000 0.5000 0.0000  4 Zn 2.50, 2 W 2.58
Zn2 0.8750 0.8636 0.7500  2 Rh 2.50, 2 Zn 2.59, 2 W 2.61
Rh2 0.2500 0.7500 0.5000  4 Zn 2.50, 2 W 2.58
W1 0.7500 0.2500 0.5000  2 Rh 2.58, 4 Zn 2.61
Zn3 0.1364 0.6250 0.2500  2 Rh 2.50, 2 Zn 2.59, 2 W 2.61
W2 0.0000 0.0000 0.0000  2 Rh 2.58, 4 Zn 2.61
Zn4 0.3750 0.3864 0.7500  2 Rh 2.50, 2 Zn 2.59, 2 W 2.61


| no. | spin magnetization (μB per formula unit) |
| --- | --- |
| 1 | 0.0 |
| 2 | 0.0 |
| 3 | 0.0 |
| 4 | 0.0 |